{"formula": "Al3Cu", "functional": "PBE-GGA", "state": "relaxed", "ef_mev_per_atom": 1, "density_g_cm3": 3.9, "lattice_angstrom": [[-4.815, 0.145, 1.239], [-1.116, -2.711, -4.018], [0.559, -4.168, 2.656]], "species": ["Al", "Al", "Al", "Al", "Al", "Al", "Cu", "Cu"], "fractional_positions": [[0.750, 0.500, 0.000], [0.250, 0.500, 0.000], [0.000, 0.750, 0.500], [0.000, 0.250, 0.500], [0.500, 0.000, 0.250], [0.500, 0.000, 0.750], [0.000, 0.000, 0.000], [0.500, 0.500, 0.500]]}